Entry 1:
Crystalline GdDyMgCu at its relaxed geometry, computed with PBE.

abc: 5.1506 5.1506 5.1506
angles: 60.00 60.00 60.00
Positions (direct):
Gd 0.0000 0.0000 0.0000
Dy 0.5000 0.5000 0.5000
Mg 0.2500 0.2500 0.2500
Cu 0.7500 0.7500 0.7500

Properties
Energy of formation ... -64.8 meV/atom
Space-group type ... F-43m

---

Entry 2:
Crystalline NbSbOs2Au at its relaxed geometry, computed with PBE.

abc: 4.7941 4.7941 5.0254
angles: 90.00 90.00 90.00
Positions (direct):
Nb 0.0000 0.0000 0.0000
Sb 0.0000 0.0000 0.5000
Os 0.0000 0.5000 0.5000
Os 0.5000 0.0000 0.5000
Au 0.5000 0.5000 0.0000

Properties
Formation energy (no corrections) ... 2.11 eV/atom
Space-group type ... P4/mmm

---

Entry 3:
Crystalline LiP2OsRu at its relaxed geometry, computed with PBE.

abc: 5.3679 5.3679 5.3679
angles: 135.56 135.56 64.66
Positions (direct):
Li 0.0000 0.0000 0.0000
P 0.3746 0.3746 0.0000
P 0.6254 0.6254 0.0000
Os 0.7500 0.2500 0.5000
Ru 0.2500 0.7500 0.5000

Properties
Energy of formation ... -543.5 meV/atom
Space-group type ... I-4m2

---

Repeat the first record exactly.
Crystalline GdDyMgCu at its relaxed geometry, computed with PBE.

abc: 5.1506 5.1506 5.1506
angles: 60.00 60.00 60.00
Positions (direct):
Gd 0.0000 0.0000 0.0000
Dy 0.5000 0.5000 0.5000
Mg 0.2500 0.2500 0.2500
Cu 0.7500 0.7500 0.7500

Properties
Energy of formation ... -64.8 meV/atom
Space-group type ... F-43m